Here is a geometry-optimized U3Tc4Ge4 structure from the Alexandria database. Energies are from PBE.

uncorrected energy: -0.641 Ry/atom
formation energy from the elements: -2.20 eV per formula unit
total moment: 0.0 μB per formula unit

```
data_U3Tc4Ge4
_chemical_formula_sum 'U6 Tc8 Ge8'
_cell_length_a 8.341
_cell_length_b 4.362
_cell_length_c 11.040
_cell_angle_alpha 90.00
_cell_angle_beta 90.00
_cell_angle_gamma 90.00
_symmetry_space_group_name_H-M 'A m m 2'
_symmetry_Int_Tables_number 38
loop_
_symmetry_equiv_pos_as_xyz
'x,y,z'
'-x,-y,z'
'-x,y,z'
'x,-y,z'
'x,y+1/2,z+1/2'
'-x,-y+1/2,z+1/2'
'-x,y+1/2,z+1/2'
'x,-y+1/2,z+1/2'
loop_
_atom_site_label
_atom_site_fract_x
_atom_site_fract_y
_atom_site_fract_z
U1 0.000 0.000 0.000
U2 0.268 0.000 0.149
Tc1 0.000 0.000 0.316
Tc2 0.262 0.000 0.839
Tc3 0.500 0.000 0.323
Ge1 0.000 0.000 0.701
Ge2 0.247 0.000 0.458
Ge3 0.500 0.000 0.692
```